1.
Density functional theory data (PBE-GGA) for NaSr3 after structural relaxation.

Output
- formation energy (eV per atom) = 0.041
- E_tot (eV/atom) = -1.550
- SG = P6_3/mmc, No. 194
- total magnetization (μB/cell) = 0.0

Unit cell a=8.353 b=8.353 c=6.789 alpha=90.00 beta=90.00 gamma=120.00
Positions (direct):
Na 0.333 0.667 0.250
Na 0.667 0.333 0.750
Sr 0.167 0.334 0.750
Sr 0.167 0.833 0.750
Sr 0.334 0.167 0.250
Sr 0.666 0.833 0.750
Sr 0.833 0.167 0.250
Sr 0.833 0.666 0.250

***

2.
Density functional theory data (PBE-GGA) for Na5Sr after structural relaxation.

Output
- formation energy (eV per atom) = 0.049
- E above lowest polymorph (eV/atom) = 0.013
- E_tot (eV/atom) = -1.330
- SG = Pmma, No. 51
- total magnetization (μB/cell) = 0.0

Unit cell a=8.094 b=6.158 c=9.751 alpha=90.00 beta=90.00 gamma=90.00
Positions (direct):
Na 0.000 0.000 0.000
Na 0.036 0.500 0.323
Na 0.250 0.000 0.262
Na 0.250 0.500 0.968
Na 0.464 0.500 0.323
Na 0.500 0.000 0.000
Na 0.536 0.500 0.677
Na 0.750 0.000 0.738
Na 0.750 0.500 0.032
Na 0.964 0.500 0.677
Sr 0.250 0.000 0.633
Sr 0.750 0.000 0.367

***

3.
Density functional theory data (PBE-GGA) for NaSr after structural relaxation.

Output
- formation energy (eV per atom) = 0.184
- E above lowest polymorph (eV/atom) = 0.161
- E_tot (eV/atom) = -1.316
- SG = P4_2/mnm, No. 136
- total magnetization (μB/cell) = 0.0

Unit cell a=7.325 b=7.325 c=7.297 alpha=90.00 beta=90.00 gamma=90.00
Positions (direct):
Na 0.185 0.185 0.000
Na 0.315 0.685 0.500
Na 0.685 0.315 0.500
Na 0.815 0.815 0.000
Sr 0.199 0.199 0.500
Sr 0.301 0.699 0.000
Sr 0.699 0.301 0.000
Sr 0.801 0.801 0.500

***

4.
Density functional theory data (PBE-GGA) for Na2Sr after structural relaxation.

Output
- formation energy (eV per atom) = 0.010
- E_tot (eV/atom) = -1.430
- SG = Fd-3m, No. 227
- total magnetization (μB/cell) = 0.0

Unit cell a=7.130 b=7.130 c=7.130 alpha=60.00 beta=60.00 gamma=60.00
Positions (direct):
Na 0.000 0.000 0.000
Na 0.000 0.000 0.500
Na 0.000 0.500 0.000
Na 0.500 0.000 0.000
Sr 0.375 0.375 0.375
Sr 0.625 0.625 0.625

***

Please write out number 3 again, unchanged.
Density functional theory data (PBE-GGA) for NaSr after structural relaxation.

Output
- formation energy (eV per atom) = 0.184
- E above lowest polymorph (eV/atom) = 0.161
- E_tot (eV/atom) = -1.316
- SG = P4_2/mnm, No. 136
- total magnetization (μB/cell) = 0.0

Unit cell a=7.325 b=7.325 c=7.297 alpha=90.00 beta=90.00 gamma=90.00
Positions (direct):
Na 0.185 0.185 0.000
Na 0.315 0.685 0.500
Na 0.685 0.315 0.500
Na 0.815 0.815 0.000
Sr 0.199 0.199 0.500
Sr 0.301 0.699 0.000
Sr 0.699 0.301 0.000
Sr 0.801 0.801 0.500

***

Copy entry 2 word for word.
Density functional theory data (PBE-GGA) for Na5Sr after structural relaxation.

Output
- formation energy (eV per atom) = 0.049
- E above lowest polymorph (eV/atom) = 0.013
- E_tot (eV/atom) = -1.330
- SG = Pmma, No. 51
- total magnetization (μB/cell) = 0.0

Unit cell a=8.094 b=6.158 c=9.751 alpha=90.00 beta=90.00 gamma=90.00
Positions (direct):
Na 0.000 0.000 0.000
Na 0.036 0.500 0.323
Na 0.250 0.000 0.262
Na 0.250 0.500 0.968
Na 0.464 0.500 0.323
Na 0.500 0.000 0.000
Na 0.536 0.500 0.677
Na 0.750 0.000 0.738
Na 0.750 0.500 0.032
Na 0.964 0.500 0.677
Sr 0.250 0.000 0.633
Sr 0.750 0.000 0.367

***

What is the formula in the second record?
Na5Sr